## i
H2PdRh: optimized geometry, PBE.

Unit cell a=5.413 b=5.413 c=5.413 alpha=30.35 beta=30.35 gamma=30.35
Fractional coordinates of all 4 atoms:
H (0.000, 0.000, 0.000)
H (0.212, 0.212, 0.212)
Pd (0.429, 0.429, 0.429)
Rh (0.605, 0.605, 0.605)

- Space-group type: R3m

=====

## ii
H2PdRh: optimized geometry, PBE.

Unit cell a=5.410 b=5.410 c=5.410 alpha=30.90 beta=30.90 gamma=30.90
Fractional coordinates of all 4 atoms:
H (0.115, 0.115, 0.115)
H (0.885, 0.885, 0.885)
Pd (0.000, 0.000, 0.000)
Rh (0.500, 0.500, 0.500)

- Space-group type: R-3m

=====

Stability check: which of them is most stable? ii.

=====

## i
HPdRh2: optimized geometry, PBE.

Unit cell a=2.683 b=2.683 c=6.589 alpha=90.00 beta=90.00 gamma=90.00
Fractional coordinates of all 4 atoms:
H (0.000, 0.000, 0.000)
Pd (0.000, 0.000, 0.500)
Rh (0.500, 0.500, 0.190)
Rh (0.500, 0.500, 0.810)

- Space-group type: P4/mmm

=====

## ii
HPdRh2: optimized geometry, PBE.

Unit cell a=5.023 b=5.023 c=5.023 alpha=105.95 beta=105.95 gamma=116.78
Fractional coordinates of all 8 atoms:
H (0.000, 0.000, 0.000)
H (0.750, 0.250, 0.500)
Pd (0.250, 0.750, 0.500)
Pd (0.500, 0.500, 0.000)
Rh (0.023, 0.625, 0.898)
Rh (0.375, 0.273, 0.398)
Rh (0.727, 0.125, 0.102)
Rh (0.875, 0.977, 0.602)

- Space-group type: I-42d

=====

## iii
HPdRh2: optimized geometry, PBE.

Unit cell a=4.179 b=4.179 c=4.179 alpha=60.00 beta=60.00 gamma=60.00
Fractional coordinates of all 4 atoms:
H (0.000, 0.000, 0.000)
Pd (0.500, 0.500, 0.500)
Rh (0.250, 0.250, 0.250)
Rh (0.750, 0.750, 0.750)

- Space-group type: Fm-3m

=====

Stability check: which of them is most stable? ii.

=====

## i
H2PdRh2: optimized geometry, PBE.

Unit cell a=5.238 b=5.238 c=3.852 alpha=90.00 beta=90.00 gamma=90.00
Fractional coordinates of all 10 atoms:
H (0.179, 0.321, 0.000)
H (0.321, 0.821, 0.000)
H (0.679, 0.179, 0.000)
H (0.821, 0.679, 0.000)
Pd (0.000, 0.000, 0.000)
Pd (0.500, 0.500, 0.000)
Rh (0.183, 0.317, 0.500)
Rh (0.317, 0.817, 0.500)
Rh (0.683, 0.183, 0.500)
Rh (0.817, 0.683, 0.500)

- Space-group type: P4/mbm

=====

## ii
H2PdRh2: optimized geometry, PBE.

Unit cell a=4.855 b=4.855 c=4.855 alpha=138.51 beta=138.51 gamma=60.13
Fractional coordinates of all 5 atoms:
H (0.250, 0.750, 0.500)
H (0.750, 0.250, 0.500)
Pd (0.000, 0.000, 0.000)
Rh (0.338, 0.338, 0.000)
Rh (0.662, 0.662, 0.000)

- Space-group type: I4/mmm

=====

Stability check: which of them is most stable? ii.

=====

## i
H4Pd2Rh: optimized geometry, PBE.

Unit cell a=5.092 b=5.092 c=4.501 alpha=114.64 beta=114.64 gamma=33.92
Fractional coordinates of all 7 atoms:
H (0.102, 0.102, 0.483)
H (0.354, 0.354, 0.082)
H (0.646, 0.646, 0.918)
H (0.898, 0.898, 0.517)
Pd (0.166, 0.166, 0.169)
Pd (0.834, 0.834, 0.831)
Rh (0.500, 0.500, 0.500)

- Space-group type: C2/m

=====

## ii
H4Pd2Rh: optimized geometry, PBE.

Unit cell a=5.716 b=5.716 c=5.716 alpha=145.58 beta=145.58 gamma=49.47
Fractional coordinates of all 7 atoms:
H (0.000, 0.500, 0.500)
H (0.171, 0.171, 0.000)
H (0.500, 0.000, 0.500)
H (0.829, 0.829, 0.000)
Pd (0.335, 0.335, 0.000)
Pd (0.665, 0.665, 0.000)
Rh (0.000, 0.000, 0.000)

- Space-group type: I4/mmm

=====

## iii
H4Pd2Rh: optimized geometry, PBE.

Unit cell a=3.176 b=3.176 c=13.998 alpha=90.00 beta=90.00 gamma=126.65
Fractional coordinates of all 14 atoms:
H (0.000, 0.000, 0.000)
H (0.000, 0.000, 0.500)
H (0.338, 0.662, 0.750)
H (0.390, 0.610, 0.162)
H (0.390, 0.610, 0.338)
H (0.610, 0.390, 0.662)
H (0.610, 0.390, 0.838)
H (0.662, 0.338, 0.250)
Pd (0.352, 0.648, 0.580)
Pd (0.352, 0.648, 0.920)
Pd (0.648, 0.352, 0.080)
Pd (0.648, 0.352, 0.420)
Rh (0.042, 0.958, 0.750)
Rh (0.958, 0.042, 0.250)

- Space-group type: Cmcm

=====

Stability check: which of them is most stable? i.

=====

## i
H3PdRh: optimized geometry, PBE.

Unit cell a=3.431 b=3.431 c=3.431 alpha=90.00 beta=90.00 gamma=90.00
Fractional coordinates of all 5 atoms:
H (0.000, 0.000, 0.500)
H (0.000, 0.500, 0.000)
H (0.500, 0.000, 0.000)
Pd (0.500, 0.500, 0.500)
Rh (0.000, 0.000, 0.000)

- Space-group type: Pm-3m

=====

## ii
H3PdRh: optimized geometry, PBE.

Unit cell a=4.298 b=4.301 c=8.619 alpha=89.92 beta=89.96 gamma=89.96
Fractional coordinates of all 20 atoms:
H (0.000, 0.000, 0.000)
H (0.000, 0.000, 0.243)
H (0.499, 0.000, 0.234)
H (0.499, 0.000, 0.757)
H (0.499, 0.001, 0.513)
H (0.499, 0.500, 0.000)
H (0.499, 0.501, 0.530)
H (0.501, 0.500, 0.243)
H (0.998, 0.500, 0.753)
H (0.999, 0.001, 0.530)
H (0.999, 0.501, 0.020)
H (0.999, 0.501, 0.510)
Pd (0.247, 0.252, 0.377)
Pd (0.249, 0.251, 0.876)
Pd (0.749, 0.750, 0.877)
Pd (0.751, 0.749, 0.377)
Rh (0.249, 0.751, 0.632)
Rh (0.252, 0.752, 0.124)
Rh (0.747, 0.248, 0.124)
Rh (0.748, 0.250, 0.632)

- Space-group type: P1

=====

## iii
H3PdRh: optimized geometry, PBE.

Unit cell a=3.443 b=3.443 c=3.443 alpha=90.00 beta=90.00 gamma=90.00
Fractional coordinates of all 5 atoms:
H (0.000, 0.000, 0.500)
H (0.000, 0.500, 0.000)
H (0.500, 0.000, 0.000)
Pd (0.000, 0.000, 0.000)
Rh (0.500, 0.500, 0.500)

- Space-group type: Pm-3m

=====

## iv
H3PdRh: optimized geometry, PBE.

Unit cell a=5.855 b=5.027 c=6.178 alpha=90.00 beta=120.08 gamma=90.00
Fractional coordinates of all 20 atoms:
H (0.132, 0.093, 0.445)
H (0.132, 0.407, 0.945)
H (0.136, 0.597, 0.663)
H (0.136, 0.903, 0.163)
H (0.363, 0.125, 0.819)
H (0.363, 0.375, 0.319)
H (0.637, 0.625, 0.681)
H (0.637, 0.875, 0.181)
H (0.864, 0.097, 0.837)
H (0.864, 0.403, 0.337)
H (0.868, 0.593, 0.055)
H (0.868, 0.907, 0.555)
Pd (0.469, 0.746, 0.357)
Pd (0.469, 0.754, 0.857)
Pd (0.531, 0.246, 0.143)
Pd (0.531, 0.254, 0.643)
Rh (0.027, 0.246, 0.643)
Rh (0.027, 0.254, 0.143)
Rh (0.973, 0.746, 0.857)
Rh (0.973, 0.754, 0.357)

- Space-group type: P2_1/c

=====

Stability check: which of them is most stable? ii.